First-principles (PBE) data for an optimized crystal structure of Nd4In12Ag, as listed in the Alexandria database.

Raw total energy in eV/atom: -3.63
Formation energy from the elements in eV/atom: -0.41

Unit cell a=8.299 b=8.299 c=8.299 alpha=109.47 beta=109.47 gamma=109.47
Fractional positions:
Nd  0.000  0.000  0.500
Nd  0.500  0.000  0.000
Nd  0.500  0.500  0.500
Nd  0.000  0.500  0.000
In  0.000  0.290  0.290
In  0.000  0.710  0.710
In  0.710  0.710  0.000
In  0.290  0.290  0.000
In  0.290  0.000  0.290
In  0.710  0.000  0.710
In  0.500  0.250  0.750
In  0.500  0.750  0.250
In  0.750  0.250  0.500
In  0.250  0.750  0.500
In  0.750  0.500  0.250
In  0.250  0.500  0.750
Ag  0.000  0.000  0.000

First-principles (PBE) data for an optimized crystal structure of NaFeTe2I, as listed in the Alexandria database.

Energy relative to the elements, uncorrected in kJ per mole of atoms: 89
Raw total energy in eV/atom: -2.61

Unit cell a=5.526 b=5.526 c=5.707 alpha=90.00 beta=90.00 gamma=90.00
Fractional positions:
I  0.000  0.000  0.500
Na  0.000  0.000  0.000
Te  0.000  0.500  0.000
Te  0.500  0.000  0.000
Fe  0.500  0.500  0.500

First-principles (PBE) data for an optimized crystal structure of LiInPb, as listed in the Alexandria database.

Raw total energy in eV/atom: -2.93
Formation energy from the elements in eV/atom: -0.15

Unit cell a=5.625 b=6.099 c=5.556 alpha=114.96 beta=118.49 gamma=81.56
Fractional positions:
Pb  0.588  0.559  0.866
Pb  0.056  0.075  0.146
Li  0.711  0.066  0.455
Li  0.257  0.569  0.204
In  0.916  0.587  0.537
In  0.376  0.058  0.794

First-principles (PBE) data for an optimized crystal structure of NaAg6Br8, as listed in the Alexandria database.

Energy relative to the elements, uncorrected in kJ per mole of atoms: -42
Raw total energy in eV/atom: -2.55

Unit cell a=4.701 b=11.377 c=11.377 alpha=120.00 beta=90.00 gamma=90.00
Fractional positions:
Na  0.500  0.000  0.000
Ag  0.769  0.799  0.201
Ag  0.769  0.799  0.599
Ag  0.769  0.401  0.201
Ag  0.231  0.201  0.799
Ag  0.231  0.201  0.401
Ag  0.231  0.599  0.799
Br  0.738  0.070  0.298
Br  0.738  0.702  0.772
Br  0.738  0.228  0.930
Br  0.262  0.930  0.702
Br  0.262  0.298  0.228
Br  0.262  0.772  0.070
Br  0.310  0.333  0.667
Br  0.690  0.667  0.333

What is the raw total energy in the second record?
-2.61 eV/atom

Repeat the second record exactly.
First-principles (PBE) data for an optimized crystal structure of NaFeTe2I, as listed in the Alexandria database.

Energy relative to the elements, uncorrected in kJ per mole of atoms: 89
Raw total energy in eV/atom: -2.61

Unit cell a=5.526 b=5.526 c=5.707 alpha=90.00 beta=90.00 gamma=90.00
Fractional positions:
I  0.000  0.000  0.500
Na  0.000  0.000  0.000
Te  0.000  0.500  0.000
Te  0.500  0.000  0.000
Fe  0.500  0.500  0.500

What is the formula in the fourth record?
NaAg6Br8